A plane-wave DFT calculation with GGA-PBE was carried out for ReNiIr after structural relaxation. Values from VASP.

Geometry as Quantum ESPRESSO input:
```
&SYSTEM
  ibrav = 0, nat = 3, ntyp = 3
/
ATOMIC_SPECIES
Ni 58.69 Ni.upf
Ir 192.22 Ir.upf
Re 186.21 Re.upf
CELL_PARAMETERS angstrom
-3.306 0.547 2.539
3.762 -0.943 1.621
0.570 2.591 0.184
ATOMIC_POSITIONS crystal
Ni 0.667 0.333 0.166
Ir 0.000 0.000 0.167
Re 0.333 0.667 0.667
```

## Properties
total energy = -27.1 eV/cell
density = 17.8 g cm⁻³
total magnetization = 0.0 Bohr magnetons per cell
energy above the lowest structure with this stoichiometry = 134 meV per atom
crystal system = hexagonal
E_form = -14.2 meV per atom
V = 40.7 Å³ per cell


A plane-wave DFT calculation with GGA-PBE was carried out for Mg2ZnCu after structural relaxation. Values from VASP.

Geometry as Quantum ESPRESSO input:
```
&SYSTEM
  ibrav = 0, nat = 8, ntyp = 3
/
ATOMIC_SPECIES
Mg 24.30 Mg.upf
Zn 65.41 Zn.upf
Cu 63.55 Cu.upf
CELL_PARAMETERS angstrom
-1.370 3.987 4.352
-0.120 -5.557 -2.413
6.814 -1.790 3.785
ATOMIC_POSITIONS crystal
Mg 0.618 0.382 0.944
Mg 0.618 0.382 0.556
Mg 0.382 0.618 0.056
Mg 0.382 0.618 0.444
Zn 0.722 0.278 0.250
Zn 0.278 0.722 0.750
Cu 0.958 0.042 0.750
Cu 0.042 0.958 0.250
```

## Properties
total energy = -17.6 eV/cell
density = 4.3 g cm⁻³
total magnetization = 0.0 Bohr magnetons per cell
crystal system = orthorhombic
E_form = -56.1 meV per atom
V = 136.7 Å³ per cell